Entry 1:
6
Lattice="-2.8896 -0.0249 -0.6768 -0.3455 -2.4969 1.5667 -1.7463 4.8084 7.2785" Properties=species:S:1:pos:R:3 comment="Al3CoIr2 (PBE, optimized geometry)" ef_ev_per_atom=-0.838 pbc="T T T"
Ir -1.9187 -0.4316 1.7003
Al 0.0000 0.0000 0.0000
Al -1.1395 3.1376 4.7495
Ir -3.0626 2.7181 6.4681
Co -2.4907 1.1433 4.0842
Al -0.6068 1.6708 2.5291

Entry 2:
8
Lattice="6.8947 -0.0749 0.3928 1.2386 3.9211 -0.0016 1.1470 0.1534 11.1728" Properties=species:S:1:pos:R:3 comment="Te2PtI (PBE, optimized geometry)" e_form_raw_kj_per_mol_fu=-117.6 pbc="T T T"
I 8.5111 3.4838 9.7207
Te 2.5124 3.0277 4.0367
Te 6.5285 1.7074 6.9977
Pt 1.9487 3.2147 6.6253
I 3.9127 0.1984 1.4984
Te 5.8963 1.9738 4.2205
Pt 3.5813 0.5416 4.2011
Te 3.0177 0.7286 6.7900

Entry 3:
8
Lattice="-3.9531 -1.9446 -4.4565 2.8246 -5.5935 -0.0648 -2.7035 -4.8770 0.1204" Properties=species:S:1:pos:R:3 comment="YBP2 (PBE, optimized geometry)" ef_ev_per_atom=-0.621 pbc="T T T"
B -0.2216 -7.1197 -1.1025
P -3.3070 -9.6754 -3.8592
Y 0.0000 0.0000 0.0000
B -0.5642 -3.7690 -2.2607
Y -3.6104 -5.2953 -3.2984
P -2.1589 -7.0626 -1.6119
P 0.1868 -5.1592 -1.0281
P -2.3849 -2.9328 -2.3027

Entry 4:
12
Lattice="4.0292 -0.0241 1.3428 0.0323 6.0012 0.0107 -0.0009 -0.0120 6.7191" Properties=species:S:1:pos:R:3 comment="Al5ZnRh6 (PBE, optimized geometry)" ef_ev_per_atom=-1.016 pbc="T T T"
Rh 2.0228 1.5136 0.6741
Rh 2.0386 4.4635 0.6794
Zn 0.0000 0.0000 0.0000
Rh 3.3747 4.4703 3.3871
Al 1.3580 2.9886 2.6952
Rh 0.7019 4.4823 4.6908
Rh 3.3587 1.4828 3.3818
Al 1.3492 -0.0120 2.6679
Al 2.7025 2.9765 5.3774
Rh 0.6859 1.4949 4.6855
Al 2.6791 -0.0241 5.3939
Al 0.0161 3.0006 0.0054

Entry 5:
5
Lattice="5.2962 0.0000 0.0000 0.0000 5.2962 0.0000 0.0000 0.0000 5.2962" Properties=species:S:1:pos:R:3 comment="BeVIn3 (PBE, optimized geometry)" ef_ev_per_atom=1.000 pbc="T T T"
In 2.6481 0.0000 0.0000
In 0.0000 2.6481 0.0000
Be 2.6481 2.6481 2.6481
In 0.0000 0.0000 2.6481
V 0.0000 0.0000 0.0000

Entry 6:
12
Lattice="6.1452 0.0002 0.0095 -3.0710 5.3229 0.0095 -1.0409 -1.8024 11.4945" Properties=species:S:1:pos:R:3 comment="Ce2Pm3HoEr6 (PBE, optimized geometry)" ef_ev_per_atom=0.043 pbc="T T T"
Pm -2.0617 3.5382 5.7568
Ce 0.0037 3.5472 0.0095
Er 3.0658 1.7408 8.6773
Pm 1.0167 1.7603 5.7568
Er -0.0243 3.5255 8.6773
Er -1.0325 1.7798 2.8362
Er -0.0071 -0.0122 8.6659
Ce 3.0706 1.7759 0.0095
Er 2.0576 -0.0048 2.8362
Er 2.0404 3.5329 2.8476
Pm 4.0950 -0.0175 5.7568
Ho 0.0000 0.0000 0.0000

Entry 7:
15
Lattice="7.9575 0.0000 0.0000 -3.9788 6.6073 0.0313 0.0000 -4.3030 7.5453" Properties=species:S:1:pos:R:3 comment="K3U3PtS8 (PBE, optimized geometry)" e_form_raw_kj_per_mol_fu=-1715.2 pbc="T T T"
U 3.9788 -2.1515 3.7727
U 1.9894 1.1521 3.7883
S -1.8620 3.2892 5.3568
S 3.9788 2.4454 2.4247
S 1.8620 3.2892 5.3568
Pt 0.0000 -2.1515 3.7727
K 1.9894 3.3037 0.0157
S 3.9788 0.0814 5.3469
U -1.9894 1.1521 3.7883
K 0.0000 0.0000 0.0000
S 5.8407 -0.9849 2.2198
S 0.0000 2.2229 2.2298
K -1.9894 3.3037 0.0157
S 2.1168 -0.9849 2.2198
S 0.0000 -0.1411 5.1519

Entry 8:
3
Lattice="-5.5769 4.5735 2.7889 -5.6353 2.1649 4.4128 1.3521 2.3227 1.1040" Properties=species:S:1:pos:R:3 comment="TlReW (PBE, optimized geometry)" ef_ev_per_atom=0.763 pbc="T T T"
Tl -2.8420 3.7967 3.1395
Re 1.2051 2.3744 1.1753
W -6.8711 5.2127 5.0949

Looking at uncorrected energy for the records above, in order, we have -6.847, -3.773, -6.612, -6.358, -3.212, -4.796, -6.266, -8.493 eV/atom.